Entry from Alexandria via LeMat-Bulk: a relaxed structure of Tb6Nd5Y2 (PBE).

a b c (Å): 3.6172 11.7558 20.6569
angles (deg): 90.00 90.00 90.00
Closest atoms and distances in Å follow each position.
Atoms (fractional coordinates):
Nd 0.5000 0.0881 0.2258  5 Tb 3.34-3.52, 4 Y 3.54-3.62, 2 Nd 3.62
Nd 0.5000 0.1992 0.9489  6 Tb 3.58-3.65, 3 Nd 3.62-3.69, 2 Y 3.79
Nd 0.5000 0.3008 0.4489  6 Tb 3.58-3.65, 3 Nd 3.62-3.69, 2 Y 3.79
Nd 0.5000 0.5000 0.0000  6 Tb 3.41-3.49, 4 Nd 3.62-3.69
Nd 0.5000 0.4119 0.7258  5 Tb 3.34-3.52, 4 Y 3.54-3.62, 2 Nd 3.62
Nd 0.5000 0.9119 0.7742  5 Tb 3.34-3.52, 4 Y 3.54-3.62, 2 Nd 3.62
Nd 0.5000 0.6992 0.5511  6 Tb 3.58-3.65, 3 Nd 3.62-3.69, 2 Y 3.79
Nd 0.5000 0.5881 0.2742  5 Tb 3.34-3.52, 4 Y 3.54-3.62, 2 Nd 3.62
Nd 0.5000 0.0000 0.5000  6 Tb 3.41-3.49, 4 Nd 3.62-3.69
Nd 0.5000 0.8008 0.0511  6 Tb 3.58-3.65, 3 Nd 3.62-3.69, 2 Y 3.79
Y 0.0000 0.8308 0.2115  3 Tb 3.36-3.63, 4 Nd 3.54-3.62, 2 Y 3.62
Y 0.0000 0.3308 0.2885  3 Tb 3.36-3.63, 4 Nd 3.54-3.62, 2 Y 3.62
Y 0.0000 0.1692 0.7885  3 Tb 3.36-3.63, 4 Nd 3.54-3.62, 2 Y 3.62
Y 0.0000 0.6692 0.7115  3 Tb 3.36-3.63, 4 Nd 3.54-3.62, 2 Y 3.62
Tb 0.0000 0.0605 0.0806  6 Nd 3.52-3.65, 5 Tb 3.62-3.78, 1 Y 3.82
Tb 0.5000 0.1750 0.6362  2 Nd 3.34-3.49, 4 Tb 3.51-3.62, 2 Y 3.63
Tb 0.5000 0.8250 0.3638  2 Nd 3.34-3.49, 4 Tb 3.51-3.62, 2 Y 3.63
Tb 0.5000 0.6750 0.8638  2 Nd 3.34-3.49, 4 Tb 3.51-3.62, 2 Y 3.63
Tb 0.0000 0.9395 0.9194  6 Nd 3.52-3.65, 5 Tb 3.62-3.78, 1 Y 3.82
Tb 0.0000 0.4194 0.8675  1 Y 3.36, 6 Nd 3.41-3.58, 4 Tb 3.51-3.62
Tb 0.0000 0.9194 0.6325  1 Y 3.36, 6 Nd 3.41-3.58, 4 Tb 3.51-3.62
Tb 0.0000 0.5806 0.1325  1 Y 3.36, 6 Nd 3.41-3.58, 4 Tb 3.51-3.62
Tb 0.0000 0.0806 0.3675  1 Y 3.36, 6 Nd 3.41-3.58, 4 Tb 3.51-3.62
Tb 0.0000 0.5605 0.4194  6 Nd 3.52-3.65, 5 Tb 3.62-3.78, 1 Y 3.82
Tb 0.5000 0.3250 0.1362  2 Nd 3.34-3.49, 4 Tb 3.51-3.62, 2 Y 3.63
Tb 0.0000 0.4395 0.5806  6 Nd 3.52-3.65, 5 Tb 3.62-3.78, 1 Y 3.82

**VASP energy**: -126.7 eV/cell
**Space group**: Pbam
**Formation enthalpy at 0 K**: 8.8 kJ/mol of atoms